(1)
Computed, not measured: BaSr2LiCa after structural relaxation at the PBE level of DFT.

The space group is P4/mmm (No. 123) and the conventional cell measures 6.398, 6.398 and 6.470 Å, with angles of 90.00, 90.00 and 90.00 degrees. The inequivalent atoms are Ba at (0.000, 0.000, 0.000), Sr at (0.000, 0.500, 0.500), Li at (0.000, 0.000, 0.500) and Ca at (0.500, 0.500, 0.000).

The calculated total energy comes out at -1.641 eV per atom. The value obtained for the energy above the most stable polymorph in this dataset is 0.072 eV/atom. For the formation energy, the calculation gives 19 kJ per mole of atoms. The calculation puts the magnetic moment at 0.000 Bohr magnetons per cell. As for the crystal system: tetragonal. Its density of states at the Fermi level is 1.418 states/eV per atom.

---

(2)
Computed, not measured: BaSrLiCa after structural relaxation at the PBE level of DFT.

The space group is P4mm (No. 99) and the conventional cell measures 4.329, 4.329 and 9.685 Å, with angles of 90.00, 90.00 and 90.00 degrees. The inequivalent atoms are Ba at (0.000, 0.000, 0.000), Sr at (0.000, 0.000, 0.565), Li at (0.500, 0.500, 0.767) and Ca at (0.500, 0.500, 0.294).

The calculated total energy comes out at -1.851 eV per atom. The value obtained for the energy above the most stable polymorph in this dataset is 0.000 eV/atom. For the formation energy, the calculation gives 3 kJ per mole of atoms. The calculation puts the magnetic moment at 0.000 Bohr magnetons per cell. As for the crystal system: tetragonal. Its density of states at the Fermi level is 1.070 states/eV per atom.

---

(3)
Computed, not measured: BaLi2CaTl after structural relaxation at the PBE level of DFT.

The space group is P4/mmm (No. 123) and the conventional cell measures 5.495, 5.495 and 5.946 Å, with angles of 90.00, 90.00 and 90.00 degrees. The inequivalent atoms are Ba at (0.000, 0.000, 0.000), Li at (0.000, 0.500, 0.500), Ca at (0.500, 0.500, 0.000) and Tl at (0.500, 0.500, 0.500).

The calculated total energy comes out at -2.055 eV per atom. For the formation energy, the calculation gives -3 kJ per mole of atoms. The calculation puts the magnetic moment at 0.000 Bohr magnetons per cell. As for the crystal system: tetragonal. Its density of states at the Fermi level is 0.763 states/eV per atom.

---

(4)
Computed, not measured: BaLi2Ca2Tl2 after structural relaxation at the PBE level of DFT.

The space group is R-3m (No. 166, hexagonal axes) and the conventional cell measures 5.0652, 5.0652 and 30.9271 Å, with angles of 90.00, 90.00 and 120.00 degrees. The inequivalent atoms are Ba at (0.0000, 0.0000, 0.0000), Li at (0.0000, 0.0000, 0.4125), Ca at (0.0000, 0.0000, 0.1310) and Tl at (0.0000, 0.0000, 0.2510).

The calculated total energy comes out at -2.301 eV per atom. For the formation energy, the calculation gives -22 kJ per mole of atoms. The calculation puts the magnetic moment at 0.002 Bohr magnetons per cell. As for the crystal system: trigonal. Its density of states at the Fermi level is 1.411 states/eV per atom.

---

(5)
Computed, not measured: Ba2Li2CaTl5 after structural relaxation at the PBE level of DFT.

The space group is P4/mbm (No. 127) and the conventional cell measures 12.033, 12.033 and 4.093 Å, with angles of 90.00, 90.00 and 90.00 degrees. The inequivalent atoms are Ba at (0.181, 0.319, 0.000), Li at (0.118, 0.618, 0.000), Ca at (0.000, 0.000, 0.000), Tl at (0.000, 0.500, 0.500) and Tl at (0.059, 0.789, 0.500).

The calculated total energy comes out at -2.497 eV per atom. For the formation energy, the calculation gives -33 kJ per mole of atoms. The calculation puts the magnetic moment at 0.000 Bohr magnetons per cell. As for the crystal system: tetragonal. Its density of states at the Fermi level is 0.422 states/eV per atom.

---

(6)
Computed, not measured: Ba2LiCaZn after structural relaxation at the PBE level of DFT.

The space group is P4/mmm (No. 123) and the conventional cell measures 6.429, 6.429 and 5.912 Å, with angles of 90.00, 90.00 and 90.00 degrees. The inequivalent atoms are Ba at (0.000, 0.500, 0.000), Li at (0.000, 0.000, 0.500), Ca at (0.500, 0.500, 0.500) and Zn at (0.500, 0.500, 0.000).

The calculated total energy comes out at -1.733 eV per atom. The value obtained for the energy above the most stable polymorph in this dataset is 0.014 eV/atom. For the formation energy, the calculation gives 7 kJ per mole of atoms. The calculation puts the magnetic moment at 0.000 Bohr magnetons per cell. As for the crystal system: tetragonal. Its density of states at the Fermi level is 0.830 states/eV per atom.